Record 1
A relaxed Ni2SbI crystal. Source: the Alexandria database, functional PBE.

```
data_Ni2SbI
_chemical_formula_sum 'Ni8 Sb4 I4'
_symmetry_space_group_name_H-M 'I -4 2 d'
_symmetry_Int_Tables_number 122
_symmetry_space_group_name_Hall 'I -4 2bw'
_cell_length_a 6.0167
_cell_length_b 6.0167
_cell_length_c 10.4734
_cell_angle_alpha 90.00
_cell_angle_beta 90.00
_cell_angle_gamma 90.00
loop_
_atom_site_label
_atom_site_fract_x
_atom_site_fract_y
_atom_site_fract_z
Ni1 0.2444 0.2500 0.1250
Sb1 0.0000 0.0000 0.0000
I1 0.0000 0.0000 0.5000
```

Summary:
Theoretical density = 6.4 Mg/m³
Crystal system = tetragonal
ΔE to the lowest computed polymorph = 0.000 eV per formula unit

Record 2
A relaxed PaSnIrRu crystal. Source: the Alexandria database, functional PBE.

```
data_PaSnIrRu
_chemical_formula_sum 'Pa4 Sn4 Ir4 Ru4'
_symmetry_space_group_name_H-M 'F -4 3 m'
_symmetry_Int_Tables_number 216
_symmetry_space_group_name_Hall 'F -4 2 3'
_cell_length_a 6.7554
_cell_length_b 6.7554
_cell_length_c 6.7554
_cell_angle_alpha 90.00
_cell_angle_beta 90.00
_cell_angle_gamma 90.00
loop_
_atom_site_label
_atom_site_fract_x
_atom_site_fract_y
_atom_site_fract_z
Pa1 0.0000 0.0000 0.0000
Sn1 0.0000 0.0000 0.5000
Ir1 0.2500 0.2500 0.7500
Ru1 0.2500 0.2500 0.2500
```

Summary:
Energy relative to the elements = -0.3823 eV/atom
Theoretical density = 13.9 Mg/m³
Crystal system = cubic

Record 3
A relaxed ReP2Pt crystal. Source: the Alexandria database, functional PBE.

```
data_ReP2Pt
_chemical_formula_sum 'Re1 P2 Pt1'
_symmetry_space_group_name_H-M 'P m m m'
_symmetry_Int_Tables_number 47
_cell_length_a 2.5982
_cell_length_b 4.1024
_cell_length_c 5.7309
_cell_angle_alpha 90.00
_cell_angle_beta 90.00
_cell_angle_gamma 90.00
loop_
_symmetry_equiv_pos_as_xyz
'x,y,z'
'-x,-y,-z'
'-x,-y,z'
'x,y,-z'
'x,-y,-z'
'-x,y,z'
'-x,y,-z'
'x,-y,z'
loop_
_atom_site_label
_atom_site_fract_x
_atom_site_fract_y
_atom_site_fract_z
Re1 0.0000 0.0000 0.0000
P1 0.0000 0.5000 0.2414
Pt1 0.0000 0.0000 0.5000
```

Summary:
Energy relative to the elements = 0.2532 eV/atom
Theoretical density = 12.0 Mg/m³
Crystal system = orthorhombic
ΔE to the lowest computed polymorph = 1.891 eV per formula unit

The highest theoretical density belongs to which entry?
PaSnIrRu

Among the records above, which one has the lowest theoretical density?
Ni2SbI

Which of these has the lowest theoretical density?
Ni2SbI

What did the first record say?
A relaxed Ni2SbI crystal. Source: the Alexandria database, functional PBE.

```
data_Ni2SbI
_chemical_formula_sum 'Ni8 Sb4 I4'
_symmetry_space_group_name_H-M 'I -4 2 d'
_symmetry_Int_Tables_number 122
_symmetry_space_group_name_Hall 'I -4 2bw'
_cell_length_a 6.0167
_cell_length_b 6.0167
_cell_length_c 10.4734
_cell_angle_alpha 90.00
_cell_angle_beta 90.00
_cell_angle_gamma 90.00
loop_
_atom_site_label
_atom_site_fract_x
_atom_site_fract_y
_atom_site_fract_z
Ni1 0.2444 0.2500 0.1250
Sb1 0.0000 0.0000 0.0000
I1 0.0000 0.0000 0.5000
```

Summary:
Theoretical density = 6.4 Mg/m³
Crystal system = tetragonal
ΔE to the lowest computed polymorph = 0.000 eV per formula unit